(1)
First-principles (PBE) data for a geometry-optimized Ho6SnSb2Te3 structure, as listed in Alexandria.

Lattice parameters (Å, degrees): 19.038 4.370 8.728 90.00 103.25 90.00
Space group C2/m (No. 12)
Unique sites:
Ho: 0.002 0.000 0.240
Ho: 0.162 0.500 0.087
Ho: 0.169 0.500 0.577
Sn: 0.000 0.500 0.000
Sb: 0.167 0.000 0.334
Te: 0.000 0.500 0.500
Te: 0.168 0.000 0.833

Computed properties:
- Formation energy without anion corrections: -14.034 eV/f.u.

(2)
First-principles (PBE) data for a geometry-optimized TaPdWC structure, as listed in Alexandria.

Lattice parameters (Å, degrees): 2.898 4.281 9.304 90.00 90.00 90.00
Space group Amm2 (No. 38)
Unique sites:
Ta: 0.000 0.000 0.000
Pd: 0.000 0.000 0.702
W: 0.500 0.000 0.313
C: 0.000 0.000 0.471

Computed properties:
- DFT formation energy: 0.18 eV/atom

| no. | total moment (μB per cell) |
| --- | --- |
| 1 | 0.0 |
| 2 | 0.0 |